No. 1
! NpTiCd (GGA-PBE, relaxed); values from VASP
! - Space group: No. 129
! - Spin magnetization: 0.0 Bohr magnetons per cell
! - Calculated formation energy: 0.706 eV/atom
! - Electronic total energy: -39.264 eV for the cell shown
&SYSTEM
  ibrav = 0, nat = 6, ntyp = 3
/
ATOMIC_SPECIES
Np 237.00 Np.upf
Ti 47.87 Ti.upf
Cd 112.41 Cd.upf
ATOMIC_POSITIONS crystal
Np 0.500 0.500 0.000
Np 0.000 0.000 0.000
Ti 0.000 0.500 0.230
Ti 0.500 0.000 0.770
Cd 0.000 0.000 0.500
Cd 0.500 0.500 0.500
CELL_PARAMETERS angstrom
3.694 0.000 0.000
0.000 3.694 0.000
0.000 0.000 9.347

=====

No. 2
! NpTl2Cd (GGA-PBE, relaxed); values from VASP
! - Space group: No. 123
! - Spin magnetization: 4.6 Bohr magnetons per cell
! - Calculated formation energy: 0.214 eV/atom
! - Electronic total energy: -17.734 eV for the cell shown
&SYSTEM
  ibrav = 0, nat = 4, ntyp = 3
/
ATOMIC_SPECIES
Np 237.00 Np.upf
Cd 112.41 Cd.upf
Tl 204.38 Tl.upf
ATOMIC_POSITIONS crystal
Np 0.500 0.000 0.000
Cd 0.500 0.500 0.500
Tl 0.000 0.500 0.000
Tl 0.000 0.000 0.500
CELL_PARAMETERS angstrom
4.329 0.000 0.000
0.000 4.954 0.000
0.000 0.000 4.954

=====

No. 3
! Np2Zn15Cd2 (GGA-PBE, relaxed); values from VASP
! - Space group: No. 166
! - Spin magnetization: 8.4 Bohr magnetons per cell
! - Calculated formation energy: -0.032 eV/atom
! - Electronic total energy: -47.430 eV for the cell shown
&SYSTEM
  ibrav = 0, nat = 19, ntyp = 3
/
ATOMIC_SPECIES
Zn 65.41 Zn.upf
Cd 112.41 Cd.upf
Np 237.00 Np.upf
ATOMIC_POSITIONS crystal
Zn 0.000 0.303 0.697
Zn 0.165 0.645 0.645
Zn 0.303 0.697 0.000
Zn 0.645 0.645 0.165
Zn 0.000 0.000 0.500
Zn 0.000 0.500 0.000
Zn 0.835 0.355 0.355
Zn 0.000 0.697 0.303
Zn 0.303 0.000 0.697
Zn 0.355 0.355 0.835
Zn 0.355 0.835 0.355
Zn 0.697 0.303 0.000
Zn 0.697 0.000 0.303
Zn 0.500 0.000 0.000
Zn 0.645 0.165 0.645
Cd 0.106 0.106 0.106
Cd 0.894 0.894 0.894
Np 0.656 0.656 0.656
Np 0.344 0.344 0.344
CELL_PARAMETERS angstrom
5.174 -4.564 -0.015
5.174 4.564 -0.015
1.169 0.000 6.800

=====

No. 4
! NpZnCd (GGA-PBE, relaxed); values from VASP
! - Space group: No. 156
! - Spin magnetization: 3.1 Bohr magnetons per cell
! - Calculated formation energy: 0.132 eV/atom
! - Electronic total energy: -14.735 eV for the cell shown
&SYSTEM
  ibrav = 0, nat = 3, ntyp = 3
/
ATOMIC_SPECIES
Zn 65.41 Zn.upf
Cd 112.41 Cd.upf
Np 237.00 Np.upf
ATOMIC_POSITIONS crystal
Zn 0.667 0.333 0.337
Cd 0.333 0.667 0.651
Np 0.000 0.000 0.013
CELL_PARAMETERS angstrom
2.882 0.000 0.000
-1.441 2.495 0.000
0.000 0.000 8.159

=====

Question: What is the spin magnetization in the first record?
Answer: 0.0 Bohr magnetons per cell